No. 1
A plane-wave DFT calculation with GGA-PBE was carried out for a relaxed structure of PuMn2I8.

Output
* SG: P-3
* electronic total energy: -4.629 eV/atom

Geometry as POSCAR:
```
PuMn2I8
1.0
8.688 0.000 0.000
-4.344 7.524 0.000
0.000 0.000 8.285
Pu Mn I
1 2 8
direct
0.000 0.000 0.000
0.333 0.667 0.687
0.667 0.333 0.313
0.162 0.325 0.782
0.163 0.838 0.782
0.325 0.163 0.218
0.333 0.667 0.381
0.667 0.333 0.619
0.675 0.837 0.782
0.837 0.162 0.218
0.838 0.675 0.218
```

=====

No. 2
A plane-wave DFT calculation with GGA-PBE was carried out for a relaxed structure of YZr2Co.

Output
* SG: I-42d
* ΔE_f: 82 meV/atom
* energy above the most stable polymorph in this dataset: 0.926 eV per formula unit

Geometry as POSCAR:
```
YZr2Co
1.0
-3.903 3.903 2.971
3.903 -3.903 2.971
3.903 3.903 -2.971
Y Zr Co
2 4 2
direct
0.000 0.000 0.000
0.750 0.250 0.500
0.198 0.625 0.073
0.375 0.448 0.573
0.552 0.125 0.927
0.875 0.802 0.427
0.250 0.750 0.500
0.500 0.500 0.000
```

=====

No. 3
A plane-wave DFT calculation with GGA-PBE was carried out for a relaxed structure of NdSmHo2.

Output
* SG: P4/mmm
* ΔE_f: 20 meV/atom
* energy above the most stable polymorph in this dataset: 0.024 eV per formula unit

Geometry as POSCAR:
```
NdSmHo2
1.0
3.592 0.000 0.000
0.000 3.592 0.000
0.000 0.000 10.132
Nd Sm Ho
1 1 2
direct
0.000 0.000 0.000
0.000 0.000 0.500
0.500 0.500 0.252
0.500 0.500 0.748
```